The following is a DFT calculation (SCAN) of Mg3Zn2 at its PBEsol-relaxed geometry.

abc: 3.0971 3.0971 11.5771
angles: 82.31 82.31 60.00
Closest atoms and distances in Å follow each position.
Element x y z (fractional)
Zn 0.3978 0.3978 0.8065  6 Mg 2.84-2.85, 6 Zn 3.10
Zn 0.6022 0.6022 0.1935  6 Mg 2.84-2.85, 6 Zn 3.10
Mg 0.0000 0.0000 0.0000  6 Zn 2.85, 6 Mg 3.10
Mg 0.2046 0.2046 0.3862  3 Zn 2.84, 9 Mg 3.10-3.16
Mg 0.7954 0.7954 0.6138  3 Zn 2.84, 9 Mg 3.10-3.16

DFT total energy, eV per atom: -8.379
Fermi-level density of states, states/eV per atom: 0.38
Formation energy, eV per atom: 0.01
Size of the total moment, Bohr magnetons per cell: 0.04


The following is a DFT calculation (SCAN) of Mg3Zn at its PBEsol-relaxed geometry.

abc: 3.1353 5.1982 5.1982
angles: 108.56 90.00 90.00
Closest atoms and distances in Å follow each position.
Element x y z (fractional)
Zn 0.0000 0.0000 0.0000  10 Mg 3.03-3.04, 2 Zn 3.14
Mg 0.5000 0.0000 0.5000  8 Mg 3.03-3.14, 4 Zn 3.04
Mg 0.5000 0.5000 0.0000  8 Mg 3.03-3.14, 4 Zn 3.04
Mg 0.0000 0.5000 0.5000  2 Zn 3.03, 10 Mg 3.04-3.14

DFT total energy, eV per atom: -7.109
Fermi-level density of states, states/eV per atom: 0.42
Formation energy, eV per atom: 0.00
Size of the total moment, Bohr magnetons per cell: 0.00


The following is a DFT calculation (SCAN) of MgZn2 at its PBEsol-relaxed geometry.

abc: 3.6199 3.6199 8.6307
angles: 102.11 102.11 90.00
Closest atoms and distances in Å follow each position.
Element x y z (fractional)
Mg 0.0000 0.0000 0.0000  8 Zn 2.85
Mg 0.2500 0.7500 0.5000  8 Zn 2.85
Zn 0.6746 0.1746 0.3492  3 Zn 2.44-2.49
Zn 0.8254 0.3254 0.6508  3 Zn 2.44-2.49
Zn 0.4246 0.4246 0.8492  3 Zn 2.44-2.49
Zn 0.5754 0.5754 0.1508  3 Zn 2.44-2.49

DFT total energy, eV per atom: -10.660
Fermi-level density of states, states/eV per atom: 0.29
Formation energy, eV per atom: 0.01
Size of the total moment, Bohr magnetons per cell: 0.00


Number 1 is which compound?
Mg3Zn2


What did the third record say?
The following is a DFT calculation (SCAN) of MgZn2 at its PBEsol-relaxed geometry.

abc: 3.6199 3.6199 8.6307
angles: 102.11 102.11 90.00
Closest atoms and distances in Å follow each position.
Element x y z (fractional)
Mg 0.0000 0.0000 0.0000  8 Zn 2.85
Mg 0.2500 0.7500 0.5000  8 Zn 2.85
Zn 0.6746 0.1746 0.3492  3 Zn 2.44-2.49
Zn 0.8254 0.3254 0.6508  3 Zn 2.44-2.49
Zn 0.4246 0.4246 0.8492  3 Zn 2.44-2.49
Zn 0.5754 0.5754 0.1508  3 Zn 2.44-2.49

DFT total energy, eV per atom: -10.660
Fermi-level density of states, states/eV per atom: 0.29
Formation energy, eV per atom: 0.01
Size of the total moment, Bohr magnetons per cell: 0.00


Repeat the first record exactly.
The following is a DFT calculation (SCAN) of Mg3Zn2 at its PBEsol-relaxed geometry.

abc: 3.0971 3.0971 11.5771
angles: 82.31 82.31 60.00
Closest atoms and distances in Å follow each position.
Element x y z (fractional)
Zn 0.3978 0.3978 0.8065  6 Mg 2.84-2.85, 6 Zn 3.10
Zn 0.6022 0.6022 0.1935  6 Mg 2.84-2.85, 6 Zn 3.10
Mg 0.0000 0.0000 0.0000  6 Zn 2.85, 6 Mg 3.10
Mg 0.2046 0.2046 0.3862  3 Zn 2.84, 9 Mg 3.10-3.16
Mg 0.7954 0.7954 0.6138  3 Zn 2.84, 9 Mg 3.10-3.16

DFT total energy, eV per atom: -8.379
Fermi-level density of states, states/eV per atom: 0.38
Formation energy, eV per atom: 0.01
Size of the total moment, Bohr magnetons per cell: 0.04